5
Lattice="4.504 0.000 0.000 0.000 4.504 0.000 0.000 0.000 3.958" Properties=species:S:1:pos:R:3 comment="BeOs2PtSe PBEsol optimized geometry" e_tot_ev_per_fu=-31.75 spacegroup=P4/mmm crystal_system=tetragonal e_form_raw_ev_per_fu=7.494 rho_g_cm3=13.719 pbc="T T T"
Be 0.000 0.000 0.000
Os 0.000 2.252 1.979
Os 2.252 0.000 1.979
Pt 2.252 2.252 0.000
Se 0.000 0.000 1.979

5
Lattice="4.990 0.000 0.000 0.000 4.990 0.000 0.000 0.000 4.915" Properties=species:S:1:pos:R:3 comment="HfTaAg2B PBEsol optimized geometry" e_tot_ev_per_fu=-25.09 e_form_ev_per_atom=2.320 spacegroup=P4/mmm crystal_system=tetragonal rho_g_cm3=7.950 pbc="T T T"
Hf 0.000 0.000 0.000
Ta 0.000 0.000 2.457
Ag 0.000 2.495 2.457
Ag 2.495 0.000 2.457
B 2.495 2.495 0.000

18
Lattice="5.862 0.000 0.000 0.000 5.862 0.000 0.000 0.000 13.104" Properties=species:S:1:pos:R:3 comment="Rb2TiAg2S4 PBEsol optimized geometry" e_tot_ev_per_fu=-43.54 spacegroup=P4_2/mcm crystal_system=tetragonal e_form_raw_ev_per_fu=-9.010 rho_g_cm3=4.151 pbc="T T T"
Rb 1.379 1.379 0.000
Rb 1.379 4.483 6.552
Rb 4.483 1.379 6.552
Rb 4.483 4.483 0.000
Ti 2.931 2.931 3.276
Ti 2.931 2.931 9.828
Ag 0.000 2.931 3.276
Ag 0.000 2.931 9.828
Ag 2.931 0.000 3.276
Ag 2.931 0.000 9.828
S 1.645 1.645 4.664
S 1.645 1.645 8.439
S 1.645 4.217 1.888
S 1.645 4.217 11.216
S 4.217 1.645 1.888
S 4.217 1.645 11.216
S 4.217 4.217 4.664
S 4.217 4.217 8.439

4
Lattice="4.402 0.000 0.000 0.000 4.402 0.000 0.000 0.000 3.110" Properties=species:S:1:pos:R:3 comment="InCo2Br PBEsol optimized geometry" e_tot_ev_per_fu=-17.95 spacegroup=P4/mmm crystal_system=tetragonal e_form_raw_ev_per_fu=2.374 rho_g_cm3=8.614 pbc="T T T"
In 0.000 0.000 0.000
Co 0.000 2.201 1.555
Co 2.201 0.000 1.555
Br 2.201 2.201 0.000

4
Lattice="0.000 3.010 3.010 3.010 0.000 3.010 3.010 3.010 0.000" Properties=species:S:1:pos:R:3 comment="Cr2CoHg PBEsol optimized geometry" e_tot_ev_per_fu=-26.65 e_form_ev_per_atom=0.534 spacegroup=F-43m crystal_system=cubic rho_g_cm3=11.070 pbc="T T T"
Cr 0.000 0.000 0.000
Cr 1.505 1.505 1.505
Co 4.515 4.515 4.515
Hg 3.010 3.010 3.010

4
Lattice="2.920 0.000 0.000 0.000 4.806 0.000 -0.139 0.000 5.165" Properties=species:S:1:pos:R:3 comment="ScReHg2 PBEsol optimized geometry" e_tot_ev_per_fu=-20.03 e_form_ev_per_atom=0.260 spacegroup=Pm crystal_system=monoclinic rho_g_cm3=14.487 pbc="T T T"
Sc 0.000 0.000 0.000
Re 0.169 2.403 3.722
Hg 1.471 0.000 2.657
Hg 1.589 2.403 1.083

5
Lattice="5.309 0.000 0.000 0.000 5.309 0.000 0.000 0.000 5.034" Properties=species:S:1:pos:R:3 comment="TaAl2SeI PBEsol optimized geometry" e_tot_ev_per_fu=-17.79 spacegroup=P4/mmm crystal_system=tetragonal e_form_raw_ev_per_fu=8.560 rho_g_cm3=5.158 pbc="T T T"
Ta 0.000 0.000 0.000
Al 0.000 2.655 2.517
Al 2.655 0.000 2.517
Se 2.655 2.655 0.000
I 0.000 0.000 2.517

4
Lattice="1.651 0.953 9.929 -1.651 0.953 9.929 0.000 -1.906 9.929" Properties=species:S:1:pos:R:3 comment="Tl2RuPb PBEsol optimized geometry" e_tot_ev_per_fu=-17.93 e_form_ev_per_atom=0.376 spacegroup=R3m crystal_system=trigonal rho_g_cm3=12.702 pbc="T T T"
Tl 0.000 0.000 0.000
Tl 0.000 0.000 7.094
Ru 0.000 0.000 21.899
Pb 0.000 0.000 13.972

5
Lattice="5.087 0.000 0.000 0.000 5.087 0.000 0.000 0.000 4.189" Properties=species:S:1:pos:R:3 comment="InS2BrN PBEsol optimized geometry" e_tot_ev_per_fu=-16.66 spacegroup=P4/mmm crystal_system=tetragonal e_form_raw_ev_per_fu=5.490 rho_g_cm3=4.181 pbc="T T T"
In 0.000 0.000 0.000
S 0.000 2.543 0.000
S 2.543 0.000 0.000
Br 2.543 2.543 2.094
N 0.000 0.000 2.094

8
Lattice="0.000 5.949 5.949 5.949 0.000 5.949 5.949 5.949 0.000" Properties=species:S:1:pos:R:3 comment="BaSr7 PBEsol optimized geometry" e_tot_ev_per_fu=-14.99 e_form_ev_per_atom=0.005 spacegroup=Fm-3m crystal_system=cubic rho_g_cm3=2.960 pbc="T T T"
Ba 0.000 0.000 0.000
Sr 2.975 2.975 0.000
Sr 2.975 0.000 2.975
Sr 5.949 2.975 2.975
Sr 0.000 2.975 2.975
Sr 2.975 5.949 2.975
Sr 2.975 2.975 5.949
Sr 5.949 5.949 5.949

88
Lattice="7.616 0.000 0.000 0.000 10.720 0.000 0.000 0.000 13.522" Properties=species:S:1:pos:R:3 comment="Sr2CuB2O6 PBEsol optimized geometry" e_tot_ev_per_fu=-79.90 spacegroup=Pnma crystal_system=orthorhombic e_form_raw_ev_per_fu=-26.357 rho_g_cm3=4.289 pbc="T T T"
Sr 0.000 0.000 0.000
Sr 0.000 5.360 0.000
Sr 0.874 2.680 6.135
Sr 1.243 5.604 9.692
Sr 1.243 10.475 9.692
Sr 2.565 0.245 2.931
Sr 2.565 5.115 2.931
Sr 2.934 8.040 12.896
Sr 3.808 0.000 6.761
Sr 3.808 5.360 6.761
Sr 4.682 2.680 0.626
Sr 5.051 5.604 10.591
Sr 5.051 10.475 10.591
Sr 6.373 0.245 3.830
Sr 6.373 5.115 3.830
Sr 6.742 8.040 7.387
Cu 0.232 8.040 4.051
Cu 1.467 2.680 0.971
Cu 2.341 8.040 7.732
Cu 3.576 2.680 10.812
Cu 4.040 8.040 2.710
Cu 5.275 2.680 5.790
Cu 6.149 8.040 12.551
Cu 7.384 2.680 9.471
B 0.095 2.680 2.867
B 0.539 8.040 1.727
B 0.982 6.038 5.857
B 0.982 10.042 5.857
B 2.826 0.678 12.618
B 2.826 4.682 12.618
B 3.269 2.680 8.488
B 3.713 8.040 9.628
B 3.903 2.680 3.894
B 4.347 8.040 5.034
B 4.790 6.038 0.904
B 4.790 10.042 0.904
B 6.634 0.678 7.665
B 6.634 4.682 7.665
B 7.077 2.680 11.795
B 7.521 8.040 10.655
O 0.135 1.347 8.167
O 0.135 4.012 8.167
O 0.454 1.500 2.223
O 0.454 3.860 2.223
O 0.481 6.863 2.500
O 0.481 9.217 2.500
O 0.567 8.040 9.473
O 0.614 8.040 0.378
O 1.502 6.447 7.082
O 1.502 9.632 7.082
O 1.534 0.392 5.214
O 1.534 4.968 5.214
O 2.274 5.752 11.975
O 2.274 10.328 11.975
O 2.306 1.087 0.321
O 2.306 4.272 0.321
O 3.194 2.680 7.139
O 3.241 2.680 2.712
O 3.327 1.503 9.260
O 3.327 3.857 9.260
O 3.354 6.859 8.984
O 3.354 9.220 8.984
O 3.673 6.707 1.406
O 3.673 9.372 1.406
O 3.943 1.347 12.116
O 3.943 4.012 12.116
O 4.262 1.500 4.538
O 4.262 3.860 4.538
O 4.289 6.863 4.261
O 4.289 9.217 4.261
O 4.375 8.040 10.810
O 4.422 8.040 6.383
O 5.310 6.447 13.201
O 5.310 9.632 13.201
O 5.342 0.392 1.547
O 5.342 4.968 1.547
O 6.082 5.752 8.308
O 6.082 10.328 8.308
O 6.114 1.087 6.440
O 6.114 4.272 6.440
O 7.002 2.680 13.144
O 7.049 2.680 4.049
O 7.135 1.503 11.022
O 7.135 3.857 11.022
O 7.162 6.859 11.299
O 7.162 9.220 11.299
O 7.481 6.707 5.355
O 7.481 9.372 5.355

3
Lattice="0.000 3.059 3.059 3.059 0.000 3.059 3.059 3.059 0.000" Properties=species:S:1:pos:R:3 comment="YCuRe PBEsol optimized geometry" e_tot_ev_per_fu=-22.19 e_form_ev_per_atom=0.767 spacegroup=F-43m crystal_system=cubic rho_g_cm3=9.823 pbc="T T T"
Y 0.000 0.000 0.000
Cu 1.529 1.529 1.529
Re 3.059 3.059 3.059

8
Lattice="3.327 0.000 0.000 0.000 4.294 0.000 0.000 0.000 7.982" Properties=species:S:1:pos:R:3 comment="LiCoS2 PBEsol optimized geometry" e_tot_ev_per_fu=-21.57 spacegroup=P2_1/m crystal_system=monoclinic e_form_raw_ev_per_fu=-3.099 rho_g_cm3=3.786 pbc="T T T"
Li 0.826 1.074 2.954
Li 2.501 3.221 5.028
Co 0.831 3.221 1.039
Co 2.496 1.074 6.942
S 0.832 1.074 0.403
S 0.832 1.074 5.411
S 2.495 3.221 2.571
S 2.495 3.221 7.579

5
Lattice="-2.049 2.049 4.813 2.049 -2.049 4.813 2.049 2.049 -4.813" Properties=species:S:1:pos:R:3 comment="NpSi2Os2 PBEsol optimized geometry" e_tot_ev_per_fu=-51.59 spacegroup=I4/mmm crystal_system=tetragonal e_form_raw_ev_per_fu=-1.820 rho_g_cm3=13.836 pbc="T T T"
Np 0.000 0.000 0.000
Si 0.000 0.000 3.623
Si 0.000 0.000 6.002
Os 2.049 0.000 2.406
Os 0.000 2.049 2.406

4
Lattice="-1.856 1.856 3.772 1.856 -1.856 3.772 1.856 1.856 -3.772" Properties=species:S:1:pos:R:3 comment="FeTc2Ir PBEsol optimized geometry" e_tot_ev_per_fu=-41.58 e_form_ev_per_atom=-0.064 spacegroup=I4/mmm crystal_system=tetragonal rho_g_cm3=14.193 pbc="T T T"
Fe 0.000 0.000 0.000
Tc 1.856 0.000 1.886
Tc 0.000 1.856 1.886
Ir 0.000 0.000 3.772

4
Lattice="0.000 3.367 3.367 3.367 0.000 3.367 3.367 3.367 0.000" Properties=species:S:1:pos:R:3 comment="TcPbSe2 PBEsol optimized geometry" e_tot_ev_per_fu=-20.01 spacegroup=F-43m crystal_system=cubic e_form_raw_ev_per_fu=2.955 rho_g_cm3=10.070 pbc="T T T"
Tc 0.000 0.000 0.000
Pb 1.684 1.684 1.684
Se 3.367 3.367 3.367
Se 5.051 5.051 5.051

5
Lattice="4.623 0.000 0.000 0.000 4.623 0.000 0.000 0.000 4.909" Properties=species:S:1:pos:R:3 comment="BaSiP2S PBEsol optimized geometry" e_tot_ev_per_fu=-25.66 spacegroup=P4/mmm crystal_system=tetragonal e_form_raw_ev_per_fu=-1.794 rho_g_cm3=4.105 pbc="T T T"
Ba 0.000 0.000 0.000
Si 2.312 2.312 2.455
P 0.000 2.312 2.455
P 2.312 0.000 2.455
S 2.312 2.312 0.000

5
Lattice="2.345 1.354 4.818 -2.345 1.354 4.818 0.000 -2.708 4.818" Properties=species:S:1:pos:R:3 comment="Li3In2 PBEsol optimized geometry" e_tot_ev_per_fu=-13.54 e_form_ev_per_atom=-0.334 spacegroup=R-3m crystal_system=trigonal rho_g_cm3=4.530 pbc="T T T"
Li 0.000 0.000 0.000
Li 0.000 0.000 5.842
Li 0.000 0.000 8.613
In 0.000 0.000 2.999
In 0.000 0.000 11.457

5
Lattice="4.997 0.000 0.000 0.000 4.997 0.000 0.000 0.000 3.290" Properties=species:S:1:pos:R:3 comment="FeTe2NO PBEsol optimized geometry" e_tot_ev_per_fu=-27.89 spacegroup=P4/mmm crystal_system=tetragonal e_form_raw_ev_per_fu=1.905 rho_g_cm3=6.894 pbc="T T T"
Fe 0.000 0.000 0.000
Te 0.000 2.499 0.000
Te 2.499 0.000 0.000
N 0.000 0.000 1.645
O 2.499 2.499 1.645

5
Lattice="-1.746 1.746 7.703 1.746 -1.746 7.703 1.746 1.746 -7.703" Properties=species:S:1:pos:R:3 comment="Ni2TeSe2 PBEsol optimized geometry" e_tot_ev_per_fu=-24.06 spacegroup=I4/mmm crystal_system=tetragonal e_form_raw_ev_per_fu=-0.514 rho_g_cm3=7.127 pbc="T T T"
Ni 1.746 0.000 3.851
Ni 0.000 1.746 3.851
Te 0.000 0.000 0.000
Se 0.000 0.000 5.402
Se 0.000 0.000 10.003

5
Lattice="-2.915 2.915 5.046 2.915 -2.915 5.046 2.915 2.915 -5.046" Properties=species:S:1:pos:R:3 comment="K2YCd2 PBEsol optimized geometry" e_tot_ev_per_fu=-9.00 e_form_ev_per_atom=0.496 spacegroup=I4/mmm crystal_system=tetragonal rho_g_cm3=3.793 pbc="T T T"
K 0.000 0.000 1.393
K 0.000 0.000 8.700
Y 0.000 0.000 5.046
Cd 2.915 0.000 2.523
Cd 0.000 2.915 2.523

5
Lattice="-1.566 1.566 5.345 1.566 -1.566 5.345 1.566 1.566 -5.345" Properties=species:S:1:pos:R:3 comment="Nb2PH2 PBEsol optimized geometry" e_tot_ev_per_fu=-36.34 spacegroup=I4/mmm crystal_system=tetragonal rho_g_cm3=6.931 pbc="T T T"
Nb 0.000 0.000 1.440
Nb 0.000 0.000 9.250
P 0.000 0.000 5.345
H 1.566 0.000 2.672
H 0.000 1.566 2.672

6
Lattice="0.000 5.543 5.543 5.543 0.000 5.543 5.543 5.543 0.000" Properties=species:S:1:pos:R:3 comment="K5Fe PBEsol optimized geometry" e_tot_ev_per_fu=-9.84 e_form_ev_per_atom=0.798 spacegroup=F-43m crystal_system=cubic rho_g_cm3=1.225 pbc="T T T"
K 0.000 0.000 0.000
K 6.914 4.172 4.172
K 4.172 6.914 4.172
K 4.172 4.172 6.914
K 6.914 6.914 6.914
Fe 2.771 2.771 2.771